i:
Density functional theory data (PBE-GGA) for a relaxed structure of YTcB4.

The structure in POSCAR format:
```
YTcB4
1.0
-1.578 2.689 3.556
1.578 -2.689 3.556
1.578 2.689 -3.556
Y Tc B
1 1 4
direct
0.000 0.000 0.000
0.500 0.500 0.000
0.087 0.751 0.336
0.415 0.751 0.664
0.585 0.249 0.336
0.913 0.249 0.664
```

Crystal system: orthorhombic
SG: Immm (71)


ii:
Density functional theory data (PBE-GGA) for a relaxed structure of YTcB4.

The structure in POSCAR format:
```
YTcB4
1.0
5.968 0.000 0.000
0.000 11.551 0.000
0.000 0.000 3.598
Y Tc B
4 4 16
direct
0.127 0.150 0.000
0.373 0.650 0.000
0.627 0.350 0.000
0.873 0.850 0.000
0.133 0.413 0.000
0.367 0.913 0.000
0.633 0.087 0.000
0.867 0.587 0.000
0.024 0.692 0.500
0.113 0.547 0.500
0.136 0.968 0.500
0.213 0.815 0.500
0.287 0.315 0.500
0.364 0.468 0.500
0.387 0.047 0.500
0.476 0.192 0.500
0.524 0.808 0.500
0.613 0.953 0.500
0.636 0.532 0.500
0.713 0.685 0.500
0.787 0.185 0.500
0.864 0.032 0.500
0.887 0.453 0.500
0.976 0.308 0.500
```

Crystal system: orthorhombic
SG: Pbam (55)


Short version: ii is the most stable of them.


i:
Density functional theory data (PBE-GGA) for a relaxed structure of UBTe.

The structure in POSCAR format:
```
UBTe
1.0
0.000 3.283 3.283
3.283 0.000 3.283
3.283 3.283 0.000
U B Te
1 1 1
direct
0.000 0.000 0.000
0.750 0.750 0.750
0.250 0.250 0.250
```

Crystal system: cubic
SG: F-43m (216)


ii:
Density functional theory data (PBE-GGA) for a relaxed structure of UBTe.

The structure in POSCAR format:
```
UBTe
1.0
0.000 3.078 3.078
3.078 0.000 3.078
3.078 3.078 0.000
U B Te
1 1 1
direct
0.000 0.000 0.000
0.750 0.750 0.750
0.500 0.500 0.500
```

Crystal system: cubic
SG: F-43m (216)


Short version: ii is the most stable of them.


i:
Density functional theory data (PBE-GGA) for a relaxed structure of BTeW.

The structure in POSCAR format:
```
BTeW
1.0
0.000 3.045 3.045
3.045 0.000 3.045
3.045 3.045 0.000
B Te W
1 1 1
direct
0.000 0.000 0.000
0.500 0.500 0.500
0.250 0.250 0.250
```

Crystal system: cubic
SG: F-43m (216)


ii:
Density functional theory data (PBE-GGA) for a relaxed structure of BTeW.

The structure in POSCAR format:
```
BTeW
1.0
0.000 2.895 2.895
2.895 0.000 2.895
2.895 2.895 0.000
B Te W
1 1 1
direct
0.000 0.000 0.000
0.750 0.750 0.750
0.250 0.250 0.250
```

Crystal system: cubic
SG: F-43m (216)


Short version: ii is the most stable of them.


i:
Density functional theory data (PBE-GGA) for a relaxed structure of B2Te2W.

The structure in POSCAR format:
```
B2Te2W
1.0
-2.578 2.578 3.100
2.578 -2.578 3.100
2.578 2.578 -3.100
B Te W
2 2 1
direct
0.132 0.132 0.000
0.868 0.868 0.000
0.250 0.750 0.500
0.750 0.250 0.500
0.500 0.500 0.000
```

Crystal system: tetragonal
SG: I4/mmm (139)


ii:
Density functional theory data (PBE-GGA) for a relaxed structure of B2Te2W.

The structure in POSCAR format:
```
B2Te2W
1.0
-1.576 1.576 8.295
1.576 -1.576 8.295
1.576 1.576 -8.295
B Te W
2 2 1
direct
0.250 0.750 0.500
0.750 0.250 0.500
0.106 0.106 0.000
0.894 0.894 0.000
0.500 0.500 0.000
```

Crystal system: tetragonal
SG: I4/mmm (139)


Short version: i is the most stable of them.


i:
Density functional theory data (PBE-GGA) for a relaxed structure of TmThB4.

The structure in POSCAR format:
```
TmThB4
1.0
-1.652 2.858 4.026
1.652 -2.858 4.026
1.652 2.858 -4.026
Tm Th B
1 1 4
direct
0.000 0.000 0.000
0.500 0.500 0.000
0.081 0.748 0.333
0.414 0.748 0.667
0.586 0.252 0.333
0.919 0.252 0.667
```

Crystal system: orthorhombic
SG: Immm (71)


ii:
Density functional theory data (PBE-GGA) for a relaxed structure of TmThB4.

The structure in POSCAR format:
```
TmThB4
1.0
3.279 0.000 0.000
-1.639 2.839 0.000
0.000 0.000 8.040
Tm Th B
1 1 4
direct
0.000 0.000 0.000
0.000 0.000 0.500
0.333 0.667 0.233
0.333 0.667 0.767
0.667 0.333 0.233
0.667 0.333 0.767
```

Crystal system: hexagonal
SG: P6/mmm (191)


Short version: ii is the most stable of them.


i:
Density functional theory data (PBE-GGA) for a relaxed structure of YThB4.

The structure in POSCAR format:
```
YThB4
1.0
-1.662 2.874 4.054
1.662 -2.874 4.054
1.662 2.874 -4.054
Y Th B
1 1 4
direct
0.000 0.000 0.000
0.500 0.500 0.000
0.082 0.749 0.333
0.415 0.749 0.667
0.585 0.251 0.333
0.918 0.251 0.667
```

Crystal system: orthorhombic
SG: Immm (71)


ii:
Density functional theory data (PBE-GGA) for a relaxed structure of YThB4.

The structure in POSCAR format:
```
YThB4
1.0
3.306 0.000 0.000
-1.653 2.863 0.000
0.000 0.000 8.109
Y Th B
1 1 4
direct
0.000 0.000 0.000
0.000 0.000 0.500
0.333 0.667 0.238
0.333 0.667 0.762
0.667 0.333 0.238
0.667 0.333 0.762
```

Crystal system: hexagonal
SG: P6/mmm (191)


Short version: ii is the most stable of them.


i:
Density functional theory data (PBE-GGA) for a relaxed structure of ThZnB.

The structure in POSCAR format:
```
ThZnB
1.0
0.000 3.114 3.114
3.114 0.000 3.114
3.114 3.114 0.000
Th Zn B
1 1 1
direct
0.000 0.000 0.000
0.750 0.750 0.750
0.500 0.500 0.500
```

Crystal system: cubic
SG: F-43m (216)


ii:
Density functional theory data (PBE-GGA) for a relaxed structure of ThZnB.

The structure in POSCAR format:
```
ThZnB
1.0
0.000 3.070 3.070
3.070 0.000 3.070
3.070 3.070 0.000
Th Zn B
1 1 1
direct
0.000 0.000 0.000
0.500 0.500 0.500
0.750 0.750 0.750
```

Crystal system: cubic
SG: F-43m (216)


Short version: ii is the most stable of them.